Entry 1:
Material: SbPb2Au
Method: DFT, PBEsol
State: relaxed

Cell: 5.009 5.009 4.078 Å, 90.00 90.00 90.00°
Space group P4/mmm (No. 123)
Asymmetric unit:
Sb  0.000  0.000  0.000
Pb  0.000  0.500  0.500
Au  0.500  0.500  0.000

Formation energy (no corrections)   0.08 eV/atom
Spin magnetization   0.0 μB/f.u.
Theoretical density   11.90 g cm⁻³
Uncorrected energy   -4.0356 eV per atom

---

Entry 2:
Material: Cd2SbPb
Method: DFT, PBEsol
State: relaxed

Cell: 4.392 4.516 10.203 Å, 90.00 90.00 90.00°
Space group Imm2 (No. 44)
Asymmetric unit:
Cd  0.000  0.000  0.000
Cd  0.000  0.500  0.252
Sb  0.000  0.000  0.508
Pb  0.000  0.500  0.756

Formation energy (no corrections)   0.09 eV/atom
Spin magnetization   0.0 μB/f.u.
Theoretical density   9.09 g cm⁻³
Uncorrected energy   -2.6499 eV per atom

---

Entry 3:
Material: Sr2IrSe
Method: DFT, PBEsol
State: relaxed

Cell: 4.284 4.338 11.060 Å, 90.00 90.00 90.00°
Space group Amm2 (No. 38)
Asymmetric unit:
Sr  0.000  0.000  0.000
Sr  0.500  0.000  0.280
Ir  0.000  0.000  0.704
Se  0.500  0.000  0.575

Formation energy (no corrections)   -0.68 eV/atom
Spin magnetization   0.0 μB/f.u.
Theoretical density   7.21 g cm⁻³
Uncorrected energy   -5.0233 eV per atom

---

Entry 4:
Material: Zn2TcOs
Method: DFT, PBEsol
State: relaxed

Cell: 2.833 2.833 6.835 Å, 90.00 90.00 90.00°
Space group P4mm (No. 99)
Asymmetric unit:
Zn  0.000  0.000  0.000
Zn  0.500  0.500  0.245
Tc  0.500  0.500  0.739
Os  0.000  0.000  0.503

E_form   -0.027 eV/atom
Spin magnetization   0.0 μB/f.u.
Theoretical density   12.68 g cm⁻³
Uncorrected energy   -6.6886 eV per atom

---

Entry 5:
Material: ZrMo2O8
Method: DFT, PBEsol
State: relaxed

Cell: 10.086 5.894 6.220 Å, 90.00 92.43 90.00°
Space group C2/m (No. 12)
Asymmetric unit:
Zr  0.000  0.000  0.000
Mo  0.160  0.500  0.714
O  0.085  0.250  0.816
O  0.148  0.500  0.441
O  0.169  0.000  0.203

Formation energy (no corrections)   -2.36 eV/atom
Spin magnetization   0.0 μB/f.u.
Theoretical density   3.70 g cm⁻³
Uncorrected energy   -9.1413 eV per atom

---

Entry 6:
Material: SrSbOs2
Method: DFT, PBEsol
State: relaxed

Cell: 4.3198 4.3198 17.3826 Å, 90.00 90.00 120.00°
Space group R3m (No. 160, hexagonal axes)
Asymmetric unit:
Sr  0.0000  0.0000  0.0000
Sb  0.0000  0.0000  0.7962
Os  0.0000  0.0000  0.2057
Os  0.0000  0.0000  0.5357

Formation energy (no corrections)   0.09 eV/atom
Spin magnetization   0.0 μB/f.u.
Theoretical density   10.46 g cm⁻³
Uncorrected energy   -7.6181 eV per atom

---

Entry 7:
Material: CoPdO2
Method: DFT, PBEsol
State: relaxed

Cell: 3.0550 3.0550 17.4112 Å, 90.00 90.00 120.00°
Space group R-3m (No. 166, hexagonal axes)
Asymmetric unit:
Co  0.0000  0.0000  0.0000
Pd  0.0000  0.0000  0.5000
O  0.0000  0.0000  0.1008

Formation energy (no corrections)   -0.29 eV/atom
Spin magnetization   1.2 μB/f.u.
Theoretical density   6.99 g cm⁻³
Uncorrected energy   -6.3401 eV per atom

---

Entry 8:
Material: Cs
Method: DFT, PBEsol
State: relaxed

Cell: 5.389 8.815 18.549 Å, 90.00 90.00 90.00°
Space group Fmmm (No. 69)
Asymmetric unit:
Cs  0.000  0.000  0.131

E_form   0.030 eV/atom
Spin magnetization   0.0 μB/f.u.
Theoretical density   2.00 g cm⁻³
Uncorrected energy   -0.9125 eV per atom

---

Copy entry 7 word for word.
Material: CoPdO2
Method: DFT, PBEsol
State: relaxed

Cell: 3.0550 3.0550 17.4112 Å, 90.00 90.00 120.00°
Space group R-3m (No. 166, hexagonal axes)
Asymmetric unit:
Co  0.0000  0.0000  0.0000
Pd  0.0000  0.0000  0.5000
O  0.0000  0.0000  0.1008

Formation energy (no corrections)   -0.29 eV/atom
Spin magnetization   1.2 μB/f.u.
Theoretical density   6.99 g cm⁻³
Uncorrected energy   -6.3401 eV per atom

---

spin magnetization of number 7 (CoPdO2)?
1.2 μB/f.u.